Entry 1:
# CsCrAs2Se (PBE, relaxed)
data_CsCrAs2Se
_cell_length_a 4.747
_cell_length_b 4.747
_cell_length_c 5.480
_cell_angle_alpha 90.00
_cell_angle_beta 90.00
_cell_angle_gamma 90.00
_symmetry_space_group_name_H-M 'P 1'
_symmetry_Int_Tables_number 1
_symmetry_space_group_name_Hall 'P 1'
loop_
_atom_site_label
_atom_site_fract_x
_atom_site_fract_y
_atom_site_fract_z
Cs1 0.500 0.500 0.500
Cr1 0.000 0.000 0.000
As1 0.000 0.500 0.000
As2 0.500 0.000 0.000
Se1 0.000 0.000 0.500
# Energy above the lowest structure with this stoichiometry (eV per atom): 0.0000
# Formation energy (no corrections) (eV per atom): 0.038
# ρ (Mg/m³): 5.56
# Space group: P4/mmm, No. 123

***

Entry 2:
# Cs2CrAsSe4 (PBE, relaxed)
data_Cs2CrAsSe4
_cell_length_a 6.825
_cell_length_b 7.495
_cell_length_c 13.505
_cell_angle_alpha 83.39
_cell_angle_beta 75.36
_cell_angle_gamma 62.91
_symmetry_space_group_name_H-M 'P 1'
_symmetry_Int_Tables_number 1
_symmetry_space_group_name_Hall 'P 1'
loop_
_atom_site_label
_atom_site_fract_x
_atom_site_fract_y
_atom_site_fract_z
Cs1 0.180 0.000 0.639
Cs2 0.820 0.000 0.361
Cs3 0.570 0.500 0.861
Cs4 0.930 0.500 0.139
Cr1 0.750 0.500 0.500
Cr2 0.000 0.000 0.000
As1 0.250 0.500 0.500
As2 0.500 0.000 0.000
Se1 0.265 0.834 0.109
Se2 0.208 0.166 0.891
Se3 0.901 0.834 0.891
Se4 0.626 0.166 0.109
Se5 0.485 0.666 0.391
Se6 0.542 0.334 0.609
Se7 0.849 0.666 0.609
Se8 0.124 0.334 0.391
# Formation energy (no corrections) (eV per atom): -0.619
# ρ (Mg/m³): 3.95
# Space group: Fddd, No. 70

***

Entry 3:
# CsCrAs2Se (PBE, relaxed)
data_CsCrAs2Se
_cell_length_a 5.844
_cell_length_b 5.844
_cell_length_c 5.930
_cell_angle_alpha 90.00
_cell_angle_beta 90.00
_cell_angle_gamma 90.00
_symmetry_space_group_name_H-M 'P 1'
_symmetry_Int_Tables_number 1
_symmetry_space_group_name_Hall 'P 1'
loop_
_atom_site_label
_atom_site_fract_x
_atom_site_fract_y
_atom_site_fract_z
Cs1 0.000 0.000 0.000
Cr1 0.500 0.500 0.500
As1 0.000 0.500 0.000
As2 0.500 0.000 0.000
Se1 0.000 0.000 0.500
# Energy above the lowest structure with this stoichiometry (eV per atom): 1.7339
# Formation energy (no corrections) (eV per atom): 1.772
# ρ (Mg/m³): 3.39
# Space group: P4/mmm, No. 123

***

Entry 4:
# Cs2CrAs2Se6 (PBE, relaxed)
data_Cs2CrAs2Se6
_cell_length_a 7.438
_cell_length_b 7.427
_cell_length_c 8.197
_cell_angle_alpha 116.62
_cell_angle_beta 90.00
_cell_angle_gamma 120.05
_symmetry_space_group_name_H-M 'P 1'
_symmetry_Int_Tables_number 1
_symmetry_space_group_name_Hall 'P 1'
loop_
_atom_site_label
_atom_site_fract_x
_atom_site_fract_y
_atom_site_fract_z
Cs1 0.742 0.484 0.234
Cs2 0.258 0.516 0.766
Cr1 0.500 0.000 0.500
As1 0.934 0.867 0.800
As2 0.066 0.133 0.200
Se1 0.729 0.459 0.752
Se2 0.264 0.971 0.246
Se3 0.293 0.029 0.754
Se4 0.736 0.029 0.754
Se5 0.707 0.971 0.246
Se6 0.271 0.541 0.248
# Formation energy (no corrections) (eV per atom): -0.428
# ρ (Mg/m³): 4.66
# Space group: C2/m, No. 12